(1)
Computed, not measured: a relaxed Ho3AsO6 crystal at the PBE level of DFT.

Values from the calculation:
The volume is 568.6 Å³/cell. Its crystal system is orthorhombic. The formation energy from raw total energies is -2971 meV/atom.

Unit cell a=8.8004 b=11.0541 c=5.8445 alpha=90.00 beta=90.00 gamma=90.00
With the nearest neighbours (Å) after each atom.
Space group Cmc2_1 (No. 36)
One atom of each set of equivalent atoms:
Ho: 0.0000 0.0966 0.0000 (multiplicity 4)  5 O 2.15-2.33
Ho: 0.1951 0.3922 0.0377 (multiplicity 8)  5 O 2.20-2.45
As: 0.0000 0.3244 0.5854 (multiplicity 4)  3 O 1.83-1.88
O: 0.0000 0.2785 0.1303 (multiplicity 4)  3 Ho 2.15-2.20
O: 0.0000 0.4634 0.7711 (multiplicity 4)  1 As 1.88
O: 0.1559 0.2441 0.7248 (multiplicity 8)  1 As 1.83
O: 0.1634 0.0132 0.2663 (multiplicity 8)  4 Ho 2.26-2.33

***

(2)
Computed, not measured: a relaxed HfCr2InPb crystal at the PBE level of DFT.

Values from the calculation:
The volume is 143.4 Å³/cell. Its crystal system is tetragonal. Its energy of formation is 1307 meV/atom.

Unit cell a=5.1215 b=5.1215 c=5.4677 alpha=90.00 beta=90.00 gamma=90.00
With the nearest neighbours (Å) after each atom.
Space group P4/mmm (No. 123)
One atom of each set of equivalent atoms:
Hf: 0.0000 0.0000 0.0000 (multiplicity 1)  2 Pb 2.73
Cr: 0.0000 0.5000 0.5000 (multiplicity 2)  2 Pb 2.56
In: 0.5000 0.5000 0.0000 (multiplicity 1)  4 Hf 3.62, 8 Cr 3.75
Pb: 0.0000 0.0000 0.5000 (multiplicity 1)  4 Cr 2.56, 2 Hf 2.73

***

The raw total energy results, record by record, are as follows: -7.784; -5.822 eV/atom.